#one
## Sr2Ir2W (PBE)

Data for Sr2Ir2W after structural relaxation.

Summary:
- Crystal system: tetragonal
- DOS at the Fermi energy: 4.6 states/eV/cell
- Size of the total moment: 0.0 μB/f.u.

abc: 6.661 6.661 5.192
angles: 90.00 90.00 90.00
Sites, in units of the cell vectors:
Sr 0.181 0.681 0.500
Sr 0.681 0.819 0.500
Sr 0.819 0.319 0.500
Sr 0.319 0.181 0.500
Ir 0.366 0.866 0.000
Ir 0.866 0.634 0.000
Ir 0.634 0.134 0.000
Ir 0.134 0.366 0.000
W 0.000 0.000 0.000
W 0.500 0.500 0.000

=====

#two
## Sr2Ir2W (PBE)

Data for Sr2Ir2W after structural relaxation.

Summary:
- Crystal system: tetragonal
- DOS at the Fermi energy: 6.2 states/eV/cell
- Size of the total moment: 1.7 μB/f.u.

abc: 4.010 4.010 7.443
angles: 74.37 74.37 90.00
Sites, in units of the cell vectors:
Sr 0.750 0.250 0.500
Sr 0.250 0.750 0.500
Ir 0.412 0.412 0.176
Ir 0.588 0.588 0.824
W 0.000 0.000 0.000

=====

Most stable of them? #one.

=====

#one
## SrYIr2 (PBE)

Data for SrYIr2 after structural relaxation.

Summary:
- Crystal system: monoclinic
- DOS at the Fermi energy: 4.3 states/eV/cell
- Size of the total moment: 0.0 μB/f.u.

abc: 5.367 5.367 6.629
angles: 59.64 59.64 49.61
Sites, in units of the cell vectors:
Ir 0.004 0.004 0.817
Ir 0.496 0.496 0.683
Sr 0.250 0.250 0.250
Y 0.750 0.750 0.750

=====

#two
## SrYIr2 (PBE)

Data for SrYIr2 after structural relaxation.

Summary:
- Crystal system: tetragonal
- DOS at the Fermi energy: 6.0 states/eV/cell
- Size of the total moment: 0.0 μB/f.u.

abc: 3.555 3.555 8.242
angles: 90.00 90.00 89.97
Sites, in units of the cell vectors:
Ir 0.000 0.000 0.067
Ir 0.500 0.500 0.158
Sr 0.000 0.000 0.436
Y 0.500 0.500 0.839

=====

#three
## SrYIr2 (PBE)

Data for SrYIr2 after structural relaxation.

Summary:
- Crystal system: monoclinic
- DOS at the Fermi energy: 2.2 states/eV/cell
- Size of the total moment: 0.0 μB/f.u.

abc: 5.982 5.982 5.083
angles: 74.30 74.30 30.10
Sites, in units of the cell vectors:
Ir 0.970 0.970 0.983
Ir 0.289 0.289 0.254
Sr 0.522 0.522 0.450
Y 0.719 0.719 0.813

=====

Most stable of them? #one.

=====

#one
## SrYIr2 (PBE)

Data for SrYIr2 after structural relaxation.

Summary:
- Crystal system: cubic
- DOS at the Fermi energy: 2.5 states/eV/cell
- Size of the total moment: 0.0 μB/f.u.

abc: 4.954 4.954 4.954
angles: 60.00 60.00 60.00
Sites, in units of the cell vectors:
Y 0.500 0.500 0.500
Sr 0.000 0.000 0.000
Ir 0.250 0.250 0.250
Ir 0.750 0.750 0.750

=====

#two
## SrYIr2 (PBE)

Data for SrYIr2 after structural relaxation.

Summary:
- Crystal system: orthorhombic
- DOS at the Fermi energy: 3.4 states/eV/cell
- Size of the total moment: 0.0 μB/f.u.

abc: 3.187 4.790 5.899
angles: 90.00 90.00 90.00
Sites, in units of the cell vectors:
Ir 0.000 0.000 0.942
Ir 0.500 0.500 0.296
Sr 0.000 0.000 0.436
Y 0.500 0.500 0.826

=====

#three
## SrYIr2 (PBE)

Data for SrYIr2 after structural relaxation.

Summary:
- Crystal system: tetragonal
- DOS at the Fermi energy: 4.8 states/eV/cell
- Size of the total moment: 0.0 μB/f.u.

abc: 7.743 7.743 6.266
angles: 51.84 51.84 90.00
Sites, in units of the cell vectors:
Y 0.000 0.000 0.000
Y 0.750 0.250 0.500
Sr 0.500 0.500 0.000
Sr 0.250 0.750 0.500
Ir 0.643 0.125 0.250
Ir 0.107 0.625 0.250
Ir 0.375 0.357 0.750
Ir 0.875 0.893 0.750

=====

#four
## SrYIr2 (PBE)

Data for SrYIr2 after structural relaxation.

Summary:
- Crystal system: cubic
- DOS at the Fermi energy: 6.4 states/eV/cell
- Size of the total moment: 0.3 μB/f.u.

abc: 4.880 4.880 4.880
angles: 60.00 60.00 60.00
Sites, in units of the cell vectors:
Ir 0.000 0.000 0.000
Ir 0.250 0.250 0.250
Sr 0.500 0.500 0.500
Y 0.750 0.750 0.750

=====

Most stable of them? #one.